Compound: Mo2RuRh
Source: the Alexandria database
Functional: GGA-PBE
Structure: optimized geometry

Properties
**Symmetry**: F-43m, No. 216
**Calculated density**: 10.88 g/cm3
**Calculated volume**: 60.44 Å³ per cell
**DFT formation energy**: 0.21 eV/atom
**Total energy**: -9.360 eV per atom

a b c (Å): 4.4050 4.4050 4.4050
angles (deg): 60.00 60.00 60.00
Fractional positions:
Ru (0.2500, 0.2500, 0.2500)
Mo (0.7500, 0.7500, 0.7500)
Mo (0.0000, 0.0000, 0.0000)
Rh (0.5000, 0.5000, 0.5000)